(1)
## YGaCo2 (PBE-GGA)

Data for a relaxed structure of YGaCo2.

Size of the total moment: 3.23 μB per formula unit
Space group: F-43m (216)

Cell: 4.4845 4.4845 4.4845 Å, 60.00 60.00 60.00°
Element x y z (fractional)
Co (0.7500, 0.7500, 0.7500)
Co (0.0000, 0.0000, 0.0000)
Ga (0.5000, 0.5000, 0.5000)
Y (0.2500, 0.2500, 0.2500)

=====

(2)
## HfIn2Ir (PBE-GGA)

Data for a relaxed structure of HfIn2Ir.

Size of the total moment: 0.00 μB per formula unit
Space group: F-43m (216)

Cell: 4.7835 4.7835 4.7835 Å, 60.00 60.00 60.00°
Element x y z (fractional)
In (0.0000, 0.0000, 0.0000)
In (0.7500, 0.7500, 0.7500)
Hf (0.2500, 0.2500, 0.2500)
Ir (0.5000, 0.5000, 0.5000)

=====

The following VASP energy values (in eV/atom) correspond, in order, to the records above: -5.88, -6.22.